Material: AlZn2Co
Method: DFT, PBE
State: relaxed

a = 5.1382 Å, b = 7.3212 Å, c = 2.8460 Å
α = 90.00°, β = 90.00°, γ = 90.00°
Last column: nearest neighbours and their distance in Å.
Space group Cmmm (No. 65)
Symmetry-distinct sites (fractional):
Al 0.0000 0.0000 0.0000 x2  2 Co 2.57, 8 Zn 2.65, 2 Al 2.85
Zn 0.2500 0.2500 0.5000 x4  4 Zn 2.57-2.85, 4 Co 2.65, 4 Al 2.65
Co 0.0000 0.5000 0.0000 x2  2 Al 2.57, 8 Zn 2.65, 2 Co 2.85

Summary:
The energy relative to the elements comes out at -0.014 eV/atom. Its total magnetization is 0.00 μB per cell. As for the density: 6.72 g/cm³.

Material: Ac2Dy15Tm2
Method: DFT, PBE
State: relaxed

a = 11.2314 Å, b = 11.2314 Å, c = 17.6862 Å
α = 90.00°, β = 90.00°, γ = 120.00°
Last column: nearest neighbours and their distance in Å.
Space group R-3m (No. 166, hexagonal axes)
Symmetry-distinct sites (fractional):
Ac 0.0000 0.0000 0.1123 x6  6 Dy 3.38-3.74
Dy 0.0000 0.3081 0.0000 x18  6 Dy 3.25-3.46
Dy 0.0000 0.5000 0.5000 x9  2 Ac 3.38, 8 Dy 3.38-3.43
Dy 0.0196 0.5098 0.1371 x18  6 Dy 3.23-3.38
Tm 0.0000 0.0000 0.3292 x6  1 Ac 3.84, 12 Dy 3.89-4.16

Summary:
The energy relative to the elements comes out at 0.306 eV/atom. Its total magnetization is 0.00 μB per cell. As for the density: 8.33 g/cm³.

Material: CaUAsN
Method: DFT, PBE
State: relaxed

a = 3.7591 Å, b = 3.7591 Å, c = 19.3974 Å
α = 90.00°, β = 90.00°, γ = 120.00°
Last column: nearest neighbours and their distance in Å.
Space group R3m (No. 160, hexagonal axes)
Symmetry-distinct sites (fractional):
Ca 0.0000 0.0000 0.0000 x3  3 N 2.79, 3 As 2.88
U 0.0000 0.0000 0.5258 x3  3 N 2.38
As 0.0000 0.0000 0.7645 x3  3 U 2.84, 3 Ca 2.88
N 0.0000 0.0000 0.2428 x3  3 U 2.38

Summary:
The calculation puts the uncorrected formation energy at -0.99 eV per atom. Its total magnetization is 5.94 μB per cell. As for the density: 7.70 g/cm³.

Material: Dy4Cd5Ir2
Method: DFT, PBE
State: relaxed

a = 7.7089 Å, b = 3.6502 Å, c = 9.5701 Å
α = 90.00°, β = 94.20°, γ = 90.00°
Last column: nearest neighbours and their distance in Å.
Space group P2/m (No. 10)
Symmetry-distinct sites (fractional):
Dy 0.1699 0.0000 0.3506 x2  2 Ir 2.75
Dy 0.2117 0.0000 0.9451 x2  4 Ir 2.89-2.95
Cd 0.1867 0.5000 0.6524 x2  1 Ir 2.91, 2 Cd 2.91-3.13
Cd 0.4549 0.5000 0.1720 x2  1 Ir 2.91, 2 Cd 3.13
Cd 0.5000 0.5000 0.5000 x1  4 Cd 2.91-3.13
Ir 0.0759 0.5000 0.1442 x2  6 Dy 2.75-2.95, 2 Cd 2.91, 1 Ir 2.92

Summary:
The energy relative to the elements comes out at -0.495 eV/atom. Its total magnetization is 0.00 μB per cell. As for the density: 9.87 g/cm³.

Material: LaPW2
Method: DFT, PBE
State: relaxed

a = 9.0330 Å, b = 3.3639 Å, c = 5.2913 Å
α = 90.00°, β = 102.19°, γ = 90.00°
Last column: nearest neighbours and their distance in Å.
Space group C2/m (No. 12)
Symmetry-distinct sites (fractional):
La 0.0000 0.0000 0.0000 x2  6 W 2.95-3.22, 4 P 3.14
P 0.0000 0.5000 0.5000 x2  6 W 2.63-2.82
W 0.2232 0.0000 0.6644 x4  2 W 2.54, 3 P 2.63-2.82

Summary:
The calculation puts the energy above the lowest structure with this stoichiometry at 0.313 eV/atom. The energy relative to the elements comes out at 0.245 eV/atom. Its total magnetization is 0.00 μB per cell. As for the density: 11.36 g/cm³.

Material: KCu
Method: DFT, PBE
State: relaxed

a = 6.6417 Å, b = 6.6417 Å, c = 6.5192 Å
α = 90.00°, β = 90.00°, γ = 90.00°
Last column: nearest neighbours and their distance in Å.
Space group P4_2/mnm (No. 136)
Symmetry-distinct sites (fractional):
K 0.1864 0.1864 0.0000 x4  4 Cu 3.19-3.30, 1 K 3.50
Cu 0.1316 0.1316 0.5000 x4  1 Cu 2.47

Summary:
The calculation puts the energy above the lowest structure with this stoichiometry at 0.242 eV/atom. The energy relative to the elements comes out at 0.484 eV/atom. Its total magnetization is 0.00 μB per cell. As for the density: 2.37 g/cm³.

Material: TlGaPd6
Method: DFT, PBE
State: relaxed

a = 4.7801 Å, b = 5.2772 Å, c = 5.4390 Å
α = 92.39°, β = 91.92°, γ = 98.84°
Last column: nearest neighbours and their distance in Å.
Space group P-1 (No. 2)
Symmetry-distinct sites (fractional):
Tl 0.0000 0.0000 0.0000 x1  10 Pd 2.73-3.03
Ga 0.5000 0.5000 0.5000 x1  6 Pd 2.50-2.64
Pd 0.0069 0.7526 0.4935 x2  2 Ga 2.58-2.88, 5 Pd 2.62-2.83
Pd 0.2622 0.5583 0.8963 x2  1 Ga 2.50, 5 Pd 2.67-2.79
Pd 0.4858 0.0767 0.7437 x2  1 Ga 2.64, 2 Tl 2.73-2.88, 7 Pd 2.75-2.94

Summary:
The calculation puts the energy above the lowest structure with this stoichiometry at 0.103 eV/atom. The energy relative to the elements comes out at -0.209 eV/atom. Its total magnetization is 0.00 μB per cell. As for the density: 11.20 g/cm³.

Material: CeInSn
Method: DFT, PBE
State: relaxed

a = 5.1905 Å, b = 5.1905 Å, c = 3.4724 Å
α = 90.00°, β = 90.00°, γ = 120.00°
Last column: nearest neighbours and their distance in Å.
Space group P3m1 (No. 156)
Symmetry-distinct sites (fractional):
Ce 0.0000 0.0000 0.0000 x1  6 In 3.46-3.47, 6 Sn 3.46-3.47, 2 Ce 3.47
In 0.6667 0.3333 0.4964 x1  3 Sn 3.00
Sn 0.3333 0.6667 0.5035 x1  3 In 3.00

Summary:
The calculation puts the energy above the lowest structure with this stoichiometry at 0.086 eV/atom. The energy relative to the elements comes out at -0.382 eV/atom. Its total magnetization is 1.22 μB per cell. As for the density: 7.66 g/cm³.

Values for uncorrected energy, eV per cell, ordered as above
-26.90; -241.14; -90.69; -46.15; -70.53; -16.90; -38.23; -13.82